# 1
A plane-wave DFT calculation with GGA-PBE was carried out for a geometry-optimized ZrZn13 structure.

```
ZrZn13
1.0
0.0000 6.0135 6.0135
6.0135 0.0000 6.0135
6.0135 6.0135 0.0000
Zr Zn
2 26
Direct
0.2500 0.2500 0.2500 Zr
0.7500 0.7500 0.7500 Zr
0.0000 0.0000 0.0000 Zn
0.0587 0.3016 0.6984 Zn
0.0587 0.6984 0.9413 Zn
0.0587 0.9413 0.3016 Zn
0.1984 0.4413 0.8016 Zn
0.1984 0.5587 0.4413 Zn
0.1984 0.8016 0.5587 Zn
0.3016 0.0587 0.9413 Zn
0.3016 0.6984 0.0587 Zn
0.3016 0.9413 0.6984 Zn
0.4413 0.1984 0.5587 Zn
0.4413 0.5587 0.8016 Zn
0.4413 0.8016 0.1984 Zn
0.5000 0.5000 0.5000 Zn
0.5587 0.1984 0.8016 Zn
0.5587 0.4413 0.1984 Zn
0.5587 0.8016 0.4413 Zn
0.6984 0.0587 0.3016 Zn
0.6984 0.3016 0.9413 Zn
0.6984 0.9413 0.0587 Zn
0.8016 0.1984 0.4413 Zn
0.8016 0.4413 0.5587 Zn
0.8016 0.5587 0.1984 Zn
0.9413 0.0587 0.6984 Zn
0.9413 0.3016 0.0587 Zn
0.9413 0.6984 0.3016 Zn
```

space-group type = No. 226
density of states at the Fermi level = 6.54 states/eV/cell
DFT formation energy = 0.003 eV per atom
total magnetic moment = 0.0 μB/f.u.

=====

# 2
A plane-wave DFT calculation with GGA-PBE was carried out for a geometry-optimized Pr4Dy3Er5 structure.

```
Pr4Dy3Er5
1.0
8.0634 -2.9731 0.0000
8.0634 2.9731 0.0000
-4.2948 0.0000 8.3917
Pr Dy Er
4 3 5
Direct
0.0861 0.0861 0.4487 Pr
0.2163 0.2163 0.8842 Pr
0.7837 0.7837 0.1158 Pr
0.9139 0.9139 0.5513 Pr
0.2147 0.2147 0.2404 Dy
0.5000 0.5000 0.0000 Dy
0.7853 0.7853 0.7596 Dy
0.0000 0.0000 0.0000 Er
0.3303 0.3303 0.6204 Er
0.4308 0.4308 0.2973 Er
0.5692 0.5692 0.7027 Er
0.6697 0.6697 0.3796 Er
```

space-group type = No. 12
density of states at the Fermi level = 19.41 states/eV/cell
DFT formation energy = 0.228 eV per atom
total magnetic moment = 0.5 μB/f.u.

=====

# 3
A plane-wave DFT calculation with GGA-PBE was carried out for a geometry-optimized SrSc3H structure.

```
SrSc3H
1.0
5.3968 0.0000 0.0000
0.0000 5.3968 0.0000
0.0000 0.0000 5.3968
Sr Sc H
1 3 1
Direct
0.0000 0.0000 0.0000 Sr
0.0000 0.0000 0.5000 Sc
0.0000 0.5000 0.0000 Sc
0.5000 0.0000 0.0000 Sc
0.5000 0.5000 0.5000 H
```

space-group type = No. 221
energy above the lowest structure with this stoichiometry = 1.757 eV per atom
density of states at the Fermi level = 6.02 states/eV/cell
total magnetic moment = 0.0 μB/f.u.

=====

Question: density of states at the Fermi level of number 1 (ZrZn13)?
Answer: 6.54 states/eV/cell